No. 1
Li3Ce2Cl9 after structural relaxation, computed with GGA-PBE.

Calculated values
**Electronic total energy**: -4.444 eV per atom
**D(E_F)**: 15.25 states/eV/f.u.

a = 7.6949 Å, b = 7.6949 Å, c = 13.3036 Å
α = 90.00°, β = 90.00°, γ = 120.00°
With the nearest neighbours (Å) after each atom.
Fractional positions:
1 Li 0.0915 0.7711 0.2500  4 Cl 2.35-2.47
2 Li 0.2289 0.3204 0.2500  4 Cl 2.35-2.47
3 Li 0.3204 0.0915 0.7500  4 Cl 2.35-2.47
4 Li 0.6796 0.9085 0.2500  4 Cl 2.35-2.47
5 Li 0.7711 0.6796 0.7500  4 Cl 2.35-2.47
6 Li 0.9085 0.2289 0.7500  4 Cl 2.35-2.47
7 Ce 0.3333 0.6667 0.5725  9 Cl 2.89-3.09
8 Ce 0.3333 0.6667 0.9275  9 Cl 2.89-3.09
9 Ce 0.6667 0.3333 0.0725  9 Cl 2.89-3.09
10 Ce 0.6667 0.3333 0.4275  9 Cl 2.89-3.09
11 Cl 0.0721 0.6811 0.0796  1 Li 2.35
12 Cl 0.0721 0.6811 0.4204  1 Li 2.35
13 Cl 0.1074 0.7231 0.7500  2 Li 2.44-2.47
14 Cl 0.2769 0.3844 0.7500  2 Li 2.44-2.47
15 Cl 0.3189 0.3910 0.0796  1 Li 2.35
16 Cl 0.3189 0.3910 0.4204  1 Li 2.35
17 Cl 0.3844 0.1074 0.2500  2 Li 2.44-2.47
18 Cl 0.3910 0.0721 0.5796  1 Li 2.35
19 Cl 0.3910 0.0721 0.9204  1 Li 2.35
20 Cl 0.6090 0.9279 0.0796  1 Li 2.35
21 Cl 0.6090 0.9279 0.4204  1 Li 2.35
22 Cl 0.6156 0.8926 0.7500  2 Li 2.44-2.47
23 Cl 0.6811 0.6090 0.5796  1 Li 2.35
24 Cl 0.6811 0.6090 0.9204  1 Li 2.35
25 Cl 0.7231 0.6156 0.2500  2 Li 2.44-2.47
26 Cl 0.8926 0.2769 0.2500  2 Li 2.44-2.47
27 Cl 0.9279 0.3189 0.5796  1 Li 2.35
28 Cl 0.9279 0.3189 0.9204  1 Li 2.35

No. 2
Li3Ce2Cl8 after structural relaxation, computed with GGA-PBE.

Calculated values
**Electronic total energy**: -4.423 eV per atom
**D(E_F)**: 16.21 states/eV/f.u.

a = 7.9556 Å, b = 7.9556 Å, c = 6.5258 Å
α = 106.44°, β = 106.44°, γ = 56.56°
With the nearest neighbours (Å) after each atom.
Fractional positions:
1 Li 0.0000 0.0000 0.0000  6 Cl 2.58-2.62
2 Li 0.2597 0.7403 0.5000  6 Cl 2.54-2.65
3 Li 0.7403 0.2597 0.5000  6 Cl 2.54-2.65
4 Ce 0.2599 0.2599 0.8186  6 Cl 2.78-2.90
5 Ce 0.7401 0.7401 0.1814  6 Cl 2.78-2.90
6 Cl 0.1059 0.1059 0.4128  3 Li 2.62-2.63, 1 Ce 2.83
7 Cl 0.1201 0.6504 0.0899  2 Li 2.58-2.65, 1 Ce 2.87
8 Cl 0.3496 0.8799 0.9101  2 Li 2.58-2.65, 1 Ce 2.87
9 Cl 0.3862 0.3862 0.5653  2 Li 2.54, 1 Ce 2.78
10 Cl 0.6138 0.6138 0.4347  2 Li 2.54, 1 Ce 2.78
11 Cl 0.6504 0.1201 0.0899  2 Li 2.58-2.65, 1 Ce 2.87
12 Cl 0.8799 0.3496 0.9101  2 Li 2.58-2.65, 1 Ce 2.87
13 Cl 0.8941 0.8941 0.5872  3 Li 2.62-2.63, 1 Ce 2.83

No. 3
Li3CeCl7 after structural relaxation, computed with GGA-PBE.

Calculated values
**Electronic total energy**: -4.071 eV per atom

a = 7.0282 Å, b = 7.0282 Å, c = 7.9960 Å
α = 121.84°, β = 121.84°, γ = 68.05°
With the nearest neighbours (Å) after each atom.
Fractional positions:
1 Li 0.0000 0.0000 0.0000  5 Cl 2.46-2.60
2 Li 0.1032 0.6425 0.4147  4 Cl 2.43-2.51
3 Li 0.6425 0.1032 0.4147  4 Cl 2.43-2.51
4 Ce 0.3990 0.3990 0.9954  6 Cl 2.64-2.74
5 Cl 0.1069 0.1069 0.6904  1 Ce 2.64, 2 Li 2.81
6 Cl 0.1494 0.6273 0.7401  2 Li 2.50-2.60, 1 Ce 2.72
7 Cl 0.2004 0.7662 0.2287  2 Li 2.51-2.60, 1 Ce 2.66
8 Cl 0.2725 0.2725 0.2269  3 Li 2.43-2.46
9 Cl 0.6273 0.1494 0.7401  2 Li 2.50-2.60, 1 Ce 2.72
10 Cl 0.6983 0.6983 0.2059  2 Li 2.43
11 Cl 0.7662 0.2004 0.2287  2 Li 2.51-2.60, 1 Ce 2.66

No. 4
Li3CeCl8 after structural relaxation, computed with GGA-PBE.

Calculated values
**Electronic total energy**: -3.812 eV per atom
**D(E_F)**: 5.82 states/eV/f.u.

a = 7.5116 Å, b = 7.5116 Å, c = 7.5870 Å
α = 118.37°, β = 118.37°, γ = 61.97°
With the nearest neighbours (Å) after each atom.
Fractional positions:
1 Li 0.0000 0.0000 0.0000  6 Cl 2.49-2.66
2 Li 0.0000 0.5000 0.5000  6 Cl 2.50-2.65
3 Li 0.5000 0.0000 0.5000  6 Cl 2.50-2.65
4 Ce 0.5000 0.5000 0.0000  6 Cl 2.64
5 Cl 0.2284 0.2284 0.2741  3 Li 2.49-2.50
6 Cl 0.2478 0.7453 0.7583  1 Ce 2.64, 2 Li 2.65-2.66
7 Cl 0.2545 0.2545 0.7436  1 Ce 2.64, 2 Li 2.65
8 Cl 0.2547 0.7522 0.2417  1 Ce 2.64, 2 Li 2.65-2.66
9 Cl 0.7453 0.2478 0.7583  1 Ce 2.64, 2 Li 2.65-2.66
10 Cl 0.7455 0.7455 0.2564  1 Ce 2.64, 2 Li 2.65
11 Cl 0.7522 0.2547 0.2417  1 Ce 2.64, 2 Li 2.65-2.66
12 Cl 0.7716 0.7716 0.7259  3 Li 2.49-2.50

No. 5
LiCeCl4 after structural relaxation, computed with GGA-PBE.

Calculated values
**Electronic total energy**: -4.604 eV per atom
**D(E_F)**: 5.99 states/eV/f.u.

a = 7.5337 Å, b = 7.5337 Å, c = 7.5337 Å
α = 108.13°, β = 108.13°, γ = 112.18°
With the nearest neighbours (Å) after each atom.
Fractional positions:
1 Li 0.3750 0.6250 0.7500  4 Cl 2.33
2 Li 0.6250 0.3750 0.2500  4 Cl 2.33
3 Ce 0.1250 0.8750 0.2500  8 Cl 2.81-3.04
4 Ce 0.8750 0.1250 0.7500  8 Cl 2.81-3.04
5 Cl 0.1784 0.2421 0.5637  1 Li 2.33
6 Cl 0.1784 0.6147 0.9363  1 Li 2.33
7 Cl 0.2421 0.1784 0.0637  1 Li 2.33
8 Cl 0.3853 0.8216 0.5637  1 Li 2.33
9 Cl 0.6147 0.1784 0.4363  1 Li 2.33
10 Cl 0.7579 0.8216 0.9363  1 Li 2.33
11 Cl 0.8216 0.3853 0.0637  1 Li 2.33
12 Cl 0.8216 0.7579 0.4363  1 Li 2.33

No. 6
LiCeMgCl6 after structural relaxation, computed with GGA-PBE.

Calculated values
**Electronic total energy**: -4.231 eV per atom
**D(E_F)**: 8.21 states/eV/f.u.

a = 6.7150 Å, b = 6.7150 Å, c = 11.8362 Å
α = 90.00°, β = 90.00°, γ = 120.00°
With the nearest neighbours (Å) after each atom.
Fractional positions:
1 Li 0.0000 0.0000 0.0000  6 Cl 2.73
2 Li 0.0000 0.0000 0.5000  6 Cl 2.73
3 Ce 0.3333 0.6667 0.2500  6 Cl 2.77
4 Ce 0.6667 0.3333 0.7500  6 Cl 2.77
5 Mg 0.3333 0.6667 0.7500  6 Cl 2.54
6 Mg 0.6667 0.3333 0.2500  6 Cl 2.54
7 Cl 0.0276 0.3529 0.6273  1 Mg 2.54, 1 Li 2.73, 1 Ce 2.77
8 Cl 0.0276 0.6748 0.8727  1 Mg 2.54, 1 Li 2.73, 1 Ce 2.77
9 Cl 0.3252 0.3529 0.8727  1 Mg 2.54, 1 Li 2.73, 1 Ce 2.77
10 Cl 0.3252 0.9724 0.6273  1 Mg 2.54, 1 Li 2.73, 1 Ce 2.77
11 Cl 0.3529 0.0276 0.1273  1 Mg 2.54, 1 Li 2.73, 1 Ce 2.77
12 Cl 0.3529 0.3252 0.3727  1 Mg 2.54, 1 Li 2.73, 1 Ce 2.77
13 Cl 0.6471 0.6748 0.6273  1 Mg 2.54, 1 Li 2.73, 1 Ce 2.77
14 Cl 0.6471 0.9724 0.8727  1 Mg 2.54, 1 Li 2.73, 1 Ce 2.77
15 Cl 0.6748 0.0276 0.3727  1 Mg 2.54, 1 Li 2.73, 1 Ce 2.77
16 Cl 0.6748 0.6471 0.1273  1 Mg 2.54, 1 Li 2.73, 1 Ce 2.77
17 Cl 0.9724 0.3252 0.1273  1 Mg 2.54, 1 Li 2.73, 1 Ce 2.77
18 Cl 0.9724 0.6471 0.3727  1 Mg 2.54, 1 Li 2.73, 1 Ce 2.77

No. 7
NaLiCe2Cl8 after structural relaxation, computed with GGA-PBE.

Calculated values
**Electronic total energy**: -4.531 eV per atom
**D(E_F)**: 15.90 states/eV/f.u.

a = 6.4334 Å, b = 8.5097 Å, c = 6.4915 Å
α = 90.00°, β = 93.29°, γ = 90.00°
With the nearest neighbours (Å) after each atom.
Fractional positions:
1 Na 0.0000 0.0000 0.0000  6 Cl 2.85-2.90
2 Li 0.0000 0.5000 0.0000  6 Cl 2.63-2.84
3 Ce 0.5000 0.2544 0.5000  6 Cl 2.72-2.81
4 Ce 0.5000 0.7456 0.5000  6 Cl 2.72-2.81
5 Cl 0.2013 0.2671 0.1873  1 Li 2.63, 1 Ce 2.72, 1 Na 2.85
6 Cl 0.2013 0.7329 0.1873  1 Li 2.63, 1 Ce 2.72, 1 Na 2.85
7 Cl 0.2945 0.5000 0.6897  2 Ce 2.80, 1 Li 2.84
8 Cl 0.3006 0.0000 0.6829  2 Ce 2.81, 1 Na 2.90
9 Cl 0.6994 0.0000 0.3171  2 Ce 2.81, 1 Na 2.90
10 Cl 0.7055 0.5000 0.3103  2 Ce 2.80, 1 Li 2.84
11 Cl 0.7987 0.2671 0.8127  1 Li 2.63, 1 Ce 2.72, 1 Na 2.85
12 Cl 0.7987 0.7329 0.8127  1 Li 2.63, 1 Ce 2.72, 1 Na 2.85

No. 8
NaLi2CeCl8 after structural relaxation, computed with GGA-PBE.

Calculated values
**Electronic total energy**: -3.781 eV per atom
**D(E_F)**: 1.35 states/eV/f.u.

a = 5.6294 Å, b = 8.2661 Å, c = 6.6865 Å
α = 90.00°, β = 90.91°, γ = 90.00°
With the nearest neighbours (Å) after each atom.
Fractional positions:
1 Na 0.0000 0.0000 0.0000  4 Cl 2.82
2 Li 0.5000 0.2632 0.5000  6 Cl 2.60-2.72
3 Li 0.5000 0.7368 0.5000  6 Cl 2.60-2.72
4 Ce 0.0000 0.5000 0.0000  6 Cl 2.62-2.67
5 Cl 0.2513 0.2652 0.8450  1 Ce 2.62, 1 Li 2.72, 1 Na 2.82
6 Cl 0.2513 0.7348 0.8450  1 Ce 2.62, 1 Li 2.72, 1 Na 2.82
7 Cl 0.2523 0.0000 0.4583  2 Li 2.60, 2 Cl 2.84-2.90
8 Cl 0.2608 0.5000 0.3371  2 Li 2.60, 1 Ce 2.67
9 Cl 0.7392 0.5000 0.6629  2 Li 2.60, 1 Ce 2.67
10 Cl 0.7477 0.0000 0.5417  2 Li 2.60, 2 Cl 2.84-2.90
11 Cl 0.7487 0.2652 0.1550  1 Ce 2.62, 1 Li 2.72, 1 Na 2.82
12 Cl 0.7487 0.7348 0.1550  1 Ce 2.62, 1 Li 2.72, 1 Na 2.82